1.
Here is Li3Co11O14 after structural relaxation from Alexandria via LeMat-Bulk. Energies are from GGA+U.

- V (Å³ per cell) = 257.16
- space group = C2/m (12)
- DFT total energy (eV for the cell shown) = -162.83

```
28
Lattice="-1.107 -9.073 5.578 4.993 6.155 -7.201 4.138 0.804 2.933" Properties=species:S:1:pos:R:3 pbc="T T T"
Li 1.943 -1.459 -0.811
Li 6.203 4.412 -3.934
Li 1.822 -6.526 5.245
Co 3.578 -2.141 1.565
Co 5.329 2.230 -2.103
Co 4.446 0.027 -0.254
Co 2.696 -4.344 3.414
Co 3.695 2.916 -4.483
Co 1.094 -3.578 0.967
Co 2.069 0.402 1.467
Co 2.792 0.660 -2.590
Co 0.191 -5.834 2.860
Co -0.674 -7.993 4.672
Co 4.560 5.075 -6.295
O 3.234 -2.451 3.637
O 3.919 -0.090 1.763
O 7.224 1.757 -1.864
O 1.556 -1.525 1.247
O 2.393 0.564 -0.506
O 5.631 -2.679 1.817
O 6.468 -0.590 0.064
O 2.983 -4.177 1.461
O 4.791 0.336 -2.326
O 4.554 -4.909 3.730
O 4.105 -2.024 -0.453
O 5.041 2.062 -0.150
O 0.800 -3.872 3.175
O 3.470 2.795 -2.420
```

2.
Here is Li4Co3O7 after structural relaxation from Alexandria via LeMat-Bulk. Energies are from GGA+U.

- distance to the lowest polymorph of the same formula (meV/atom) = 28.6
- V (Å³ per cell) = 235.86
- space group = P-1 (2)

```
28
Lattice="-1.048 3.355 3.433 2.562 -3.113 5.014 6.444 4.191 0.057" Properties=species:S:1:pos:R:3 pbc="T T T"
Li 2.567 0.844 5.837
Li 5.391 3.589 2.667
Li 4.422 -0.927 4.601
Li 2.698 3.773 1.745
Li 1.746 -0.776 3.643
Li 3.536 5.360 3.904
Li 6.212 5.210 4.862
Li 0.000 0.000 0.000
Co 7.123 2.842 6.335
Co 0.835 1.591 2.170
Co 3.571 1.416 3.148
Co 4.387 3.017 5.357
Co 6.249 1.250 4.115
Co 1.709 3.184 4.390
O 6.956 4.651 6.704
O 3.494 3.266 3.651
O 2.583 -1.122 5.523
O 0.896 3.373 2.637
O 6.183 3.128 4.617
O 2.792 1.689 1.414
O 5.364 1.533 2.425
O 4.464 1.167 4.854
O 1.002 -0.218 1.801
O 5.166 2.744 7.090
O 7.062 1.060 5.867
O 2.594 2.900 6.080
O 5.376 5.555 2.981
O 1.775 1.305 3.888
```

3.
Here is Li4Co3O7 after structural relaxation from Alexandria via LeMat-Bulk. Energies are from GGA+U.

- distance to the lowest polymorph of the same formula (meV/atom) = 296.2
- V (Å³ per cell) = 310.75
- space group = P-1 (2)

```
28
Lattice="6.406 -0.167 -0.035 -2.186 6.383 -0.421 -1.255 -3.978 7.949" Properties=species:S:1:pos:R:3 pbc="T T T"
Li -1.721 1.202 3.764
Li 2.590 4.909 0.933
Li 4.240 -3.185 7.701
Li 0.375 -2.672 6.561
Li 0.823 3.041 0.608
Li 2.142 -0.803 6.886
Li -1.275 5.423 -0.207
Li 1.482 1.119 3.747
Co 0.093 3.374 4.619
Co 2.872 -1.137 2.875
Co -0.856 -1.093 4.990
Co 0.347 1.267 6.598
Co 2.617 0.971 0.896
Co 3.820 3.331 2.504
O 3.802 -0.611 5.525
O 0.923 1.001 0.329
O 3.032 0.760 2.724
O 2.589 -1.106 4.788
O 0.029 -0.714 6.501
O -2.336 3.413 4.372
O 2.349 -2.996 7.023
O -0.838 2.848 1.969
O 0.376 3.344 2.706
O 0.616 5.234 0.470
O 2.042 1.237 7.165
O 5.301 -1.176 3.122
O 2.936 2.952 0.992
O -0.067 1.478 4.769
```

4.
Here is Li2CoO3 after structural relaxation from Alexandria via LeMat-Bulk. Energies are from GGA+U.

- V (Å³ per cell) = 261.84
- space group = Pnnm (58)
- DFT total energy (eV for the cell shown) = -127.14

```
24
Lattice="-2.144 2.294 1.043 -3.532 0.026 -7.316 -6.091 -7.019 2.916" Properties=species:S:1:pos:R:3 pbc="T T T"
Li -3.170 0.386 -2.115
Li -1.755 -1.440 -0.441
Li -5.133 -0.902 -3.318
Li -5.570 -2.714 -5.478
Li -4.053 -4.279 1.078
Li -6.634 -3.796 -0.038
Li -7.868 -5.553 -3.959
Li -8.597 -5.084 -1.241
Co -4.738 0.477 -5.537
Co -3.742 -2.807 -1.518
Co -5.881 -4.186 -2.882
Co -7.030 -5.175 2.180
O -1.974 0.518 0.052
O -3.917 0.563 -4.039
O -2.717 -1.565 -2.143
O -5.868 -0.764 -5.130
O -3.080 -2.904 0.056
O -4.617 -2.862 -3.195
O -5.006 -4.131 -1.205
O -6.543 -4.089 -4.456
O -5.900 -3.934 1.773
O -6.906 -5.428 -2.257
O -7.851 -5.261 0.682
O -9.793 -5.216 -3.408
```

5.
Here is Li3Co2O5 after structural relaxation from Alexandria via LeMat-Bulk. Energies are from GGA+U.

- distance to the lowest polymorph of the same formula (meV/atom) = 50.1
- V (Å³ per cell) = 170.22
- space group = C2/m (12)

```
20
Lattice="-6.978 1.189 -2.999 -5.843 -0.602 -4.960 -4.472 -6.039 2.924" Properties=species:S:1:pos:R:3 pbc="T T T"
Li -6.612 -5.333 1.041
Li -2.236 -3.019 1.462
Li -10.681 -0.119 -6.076
Li -10.844 -3.919 -2.700
Li -6.449 -1.532 -2.335
Li 0.000 0.000 0.000
Co -8.511 -0.802 -4.196
Co -8.781 -4.650 -0.839
Co -4.362 -2.288 -0.436
Co -12.931 -3.163 -4.599
O -1.205 -1.519 0.689
O -14.065 -4.569 -3.972
O -9.763 -2.229 -3.618
O -5.229 0.064 -3.086
O -5.522 -3.708 0.188
O -7.530 -3.223 -1.417
O -3.227 -0.882 -1.063
O -16.088 -3.933 -5.724
O -11.771 -1.744 -5.223
O -12.063 -5.516 -1.948
```

6.
Here is Li8Co5O10 after structural relaxation from Alexandria via LeMat-Bulk. Energies are from GGA+U.

- distance to the lowest polymorph of the same formula (meV/atom) = 0.0
- V (Å³ per cell) = 498.17
- space group = P1 (1)

```
46
Lattice="-3.655 3.246 -2.010 -2.557 -4.783 3.685 1.548 10.990 11.250" Properties=species:S:1:pos:R:3 pbc="T T T"
Li -3.971 1.545 -0.163
Li -1.454 5.431 6.483
Li -1.582 1.744 0.134
Li -2.717 8.969 4.775
Li -1.801 3.251 2.073
Li 0.675 7.180 8.739
Li -1.105 4.026 4.516
Li -2.208 11.106 9.162
Li -2.080 -1.460 3.805
Li -3.238 5.707 8.464
Li -3.565 3.986 6.449
Li -0.874 7.831 13.103
Li -1.879 -1.107 6.231
Li -3.022 6.045 10.908
Li -3.541 3.561 4.027
Li -1.053 7.516 10.693
Co -3.863 8.381 9.786
Co -2.712 1.218 5.122
Co -5.042 -0.638 2.804
Co -2.555 3.300 9.458
Co -3.063 -0.776 0.880
Co -0.527 3.131 7.490
Co -0.714 1.080 3.190
Co -1.882 8.241 7.841
Co -2.246 6.183 3.400
Co 0.356 10.046 10.050
O -3.041 3.123 0.564
O -0.554 7.049 7.219
O 0.073 4.233 6.008
O -0.965 11.240 10.621
O -4.629 0.248 1.232
O -2.204 4.168 7.874
O -3.560 -1.671 2.517
O -4.702 5.531 7.183
O -1.965 2.335 3.828
O -3.153 9.488 8.470
O -3.442 0.076 6.381
O -4.593 7.250 11.067
O -0.194 2.090 1.598
O -1.364 9.268 6.265
O -2.727 5.080 5.000
O -0.122 9.018 11.650
O -1.317 0.078 4.719
O -2.474 7.238 9.383
O -4.101 2.371 5.490
O -1.595 6.271 12.191
```

7.
Here is Li5Co3O8 after structural relaxation from Alexandria via LeMat-Bulk. Energies are from GGA+U.

- distance to the lowest polymorph of the same formula (meV/atom) = 52.3
- V (Å³ per cell) = 137.49
- space group = C2/m (12)

```
16
Lattice="-5.170 -3.174 -1.982 -3.819 -5.105 -0.283 -8.446 -1.622 4.872" Properties=species:S:1:pos:R:3 pbc="T T T"
Li -12.004 -7.212 1.347
Li -5.430 -2.689 1.261
Li -7.822 -6.457 -1.120
Li -9.612 -3.444 3.728
Li -4.494 -4.140 -1.132
Co -11.012 -8.652 -1.079
Co -6.423 -1.249 3.687
Co -8.717 -4.951 1.304
O -3.748 -1.402 1.387
O -6.222 -5.235 -1.003
O -7.850 -2.288 3.641
O -10.310 -5.977 1.404
O -11.212 -4.666 3.611
O -13.687 -8.500 1.221
O -7.124 -3.924 1.204
O -9.585 -7.613 -1.033
```

8.
Here is LiCo3O after structural relaxation from Alexandria via LeMat-Bulk. Energies are from GGA+U.

- distance to the lowest polymorph of the same formula (meV/atom) = 1304.4
- V (Å³ per cell) = 62.58
- space group = Pm-3m (221)

```
5
Lattice="3.970 0.000 0.000 0.000 3.970 0.000 0.000 0.000 3.970" Properties=species:S:1:pos:R:3 pbc="T T T"
Co 0.000 1.985 0.000
Co 0.000 0.000 1.985
Co 1.985 0.000 0.000
O 1.985 1.985 1.985
Li 0.000 0.000 0.000
```

9.
Here is Li5Co3O8 after structural relaxation from Alexandria via LeMat-Bulk. Energies are from GGA+U.

- distance to the lowest polymorph of the same formula (meV/atom) = 6.9
- V (Å³ per cell) = 130.79
- space group = R-3m (166)

```
16
Lattice="-0.044 -5.546 1.437 4.704 -3.215 -0.596 2.878 -1.855 4.593" Properties=species:S:1:pos:R:3 pbc="T T T"
Li 3.791 -2.535 1.998
Li 2.330 -4.380 0.421
Li 0.000 0.000 0.000
Li 1.417 -3.701 3.015
Li 3.769 -5.308 2.717
Co 2.352 -1.607 -0.298
Co 1.439 -0.928 2.297
Co -0.022 -2.773 0.719
O 3.412 -3.643 3.791
O 1.868 -5.594 2.123
O 4.378 -4.362 1.048
O 5.726 -8.064 4.128
O 4.127 -6.973 1.643
O 5.671 -5.022 3.311
O 3.161 -6.254 4.387
O 1.812 -2.552 1.307
```

10.
Here is Li4Co3O7 after structural relaxation from Alexandria via LeMat-Bulk. Energies are from GGA+U.

- distance to the lowest polymorph of the same formula (meV/atom) = 4.7
- V (Å³ per cell) = 231.10
- space group = P-1 (2)

```
28
Lattice="-0.782 -4.523 -4.508 5.760 -2.399 -1.470 0.537 -5.739 2.782" Properties=species:S:1:pos:R:3 pbc="T T T"
Li 1.504 -6.881 -1.742
Li 4.012 -5.780 -1.454
Li 0.950 -2.350 0.258
Li 4.566 -10.310 -3.454
Li 2.784 -6.836 0.743
Li -0.391 -2.261 -2.254
Li 2.732 -5.825 -3.939
Li 3.149 -4.069 0.656
Co 3.672 -8.631 -1.341
Co 1.844 -4.029 -1.855
Co 0.541 -5.150 0.393
Co 4.974 -7.510 -3.589
Co 4.432 -2.955 -1.572
Co 1.083 -9.706 -1.624
O 3.334 -7.267 -2.640
O 0.143 -3.842 -0.967
O 2.764 -2.695 -0.826
O 0.563 -8.443 -2.872
O 4.585 -7.390 -0.158
O 1.951 -8.459 -0.460
O 4.588 -6.199 -4.961
O 5.372 -8.819 -2.229
O 2.181 -5.394 -0.556
O 4.952 -4.217 -0.324
O 2.751 -9.965 -2.370
O 0.927 -6.462 1.765
O 3.564 -4.202 -2.736
O 0.931 -5.271 -3.038
```

11.
Here is LiCoO2 after structural relaxation from Alexandria via LeMat-Bulk. Energies are from GGA+U.

- V (Å³ per cell) = 89.08
- space group = I-42d (122)
- DFT total energy (eV for the cell shown) = -44.62

```
8
Lattice="-3.322 2.717 -1.111 -2.591 -3.502 -0.818 -4.367 -0.355 3.345" Properties=species:S:1:pos:R:3 pbc="T T T"
Co 0.000 0.000 0.000
Co -5.322 0.985 0.635
O -3.566 1.232 0.015
O -3.052 -1.999 0.211
O -5.434 -0.482 1.804
O -8.507 -1.032 0.803
Li -2.956 -0.393 -0.964
Li -4.957 -2.125 0.781
```

12.
Here is Li4CoO4 after structural relaxation from Alexandria via LeMat-Bulk. Energies are from GGA+U.

- distance to the lowest polymorph of the same formula (meV/atom) = 9.1
- V (Å³ per cell) = 101.15
- space group = I-42m (121)

```
9
Lattice="-3.972 2.672 0.654 -2.241 -3.809 1.952 4.537 1.736 2.618" Properties=species:S:1:pos:R:3 pbc="T T T"
Li -1.986 1.336 0.327
Li -1.121 -1.905 0.976
Li 0.841 0.686 2.305
Li -2.517 -0.088 2.919
Co 0.000 0.000 0.000
O -0.641 0.580 3.752
O -2.292 -2.120 2.568
O 2.847 1.218 2.289
O -3.263 1.519 1.839
```